VASP calculation (PBE) on a geometry-optimized SiRuW2 structure.

## Properties
**Uncorrected energy**: -0.7391 Ry/atom
**Fermi-level density of states**: 1.08 states/eV per atom
**ΔE_f (raw)**: 0.10 eV per atom

Cell and atoms, written as CIF:
```
data_SiRuW2
_symmetry_space_group_name_H-M 'R 3 m'
_symmetry_Int_Tables_number 160
_symmetry_space_group_name_Hall 'R 3 -2"'
_cell_length_a 2.8256
_cell_length_b 2.8256
_cell_length_c 25.9663
_cell_angle_alpha 90.00
_cell_angle_beta 90.00
_cell_angle_gamma 120.00
loop_
_atom_site_label
_atom_site_type_symbol
_atom_site_fract_x
_atom_site_fract_y
_atom_site_fract_z
Si1 Si 0.0000 0.0000 0.0000
Ru1 Ru 0.0000 0.0000 0.2591
W1 W 0.0000 0.0000 0.5096
W2 W 0.0000 0.0000 0.7502
```